# Sc2TaOs (PBE, optimized geometry)
# Fermi-level density of states in states/eV/f.u.: 5.33
# Total DFT energy (no corrections) in eV per atom: -8.8937
# Energy above the lowest structure with this stoichiometry in eV per atom: 0.269
data_Sc2TaOs
_cell_length_a 5.643
_cell_length_b 9.231
_cell_length_c 2.932
_cell_angle_alpha 90.00
_cell_angle_beta 108.62
_cell_angle_gamma 90.00
_space_group_name_H-M_alt 'C 1 2/m 1'
_space_group_IT_number 12
_space_group_name_Hall '-C 2y'
loop_
_atom_site_label
_atom_site_type_symbol
_atom_site_fract_x
_atom_site_fract_y
_atom_site_fract_z
Sc1 Sc 0.250 0.250 0.000
Ta1 Ta 0.000 0.000 0.500
Os1 Os 0.000 0.500 0.500

=====

# ScTaOs2 (PBE, optimized geometry)
# Fermi-level density of states in states/eV/f.u.: 2.52
# Total DFT energy (no corrections) in eV per atom: -10.2965
# Energy above the lowest structure with this stoichiometry in eV per atom: 0.396
data_ScTaOs2
_cell_length_a 2.852
_cell_length_b 4.526
_cell_length_c 5.219
_cell_angle_alpha 90.00
_cell_angle_beta 102.58
_cell_angle_gamma 90.00
_space_group_name_H-M_alt 'P 1 m 1'
_space_group_IT_number 6
_space_group_name_Hall 'P -2y'
loop_
_atom_site_label
_atom_site_type_symbol
_atom_site_fract_x
_atom_site_fract_y
_atom_site_fract_z
Sc1 Sc 0.000 0.000 0.000
Ta1 Ta 0.724 0.500 0.278
Os1 Os 0.248 0.500 0.785
Os2 Os 0.511 0.000 0.500

=====

# Sc2TaOs (PBE, optimized geometry)
# Fermi-level density of states in states/eV/f.u.: 4.14
# Total DFT energy (no corrections) in eV per atom: -8.9030
# Energy above the lowest structure with this stoichiometry in eV per atom: 0.260
data_Sc2TaOs
_cell_length_a 3.296
_cell_length_b 4.862
_cell_length_c 9.227
_cell_angle_alpha 90.00
_cell_angle_beta 90.00
_cell_angle_gamma 90.00
_space_group_name_H-M_alt 'C m m m'
_space_group_IT_number 65
_space_group_name_Hall '-C 2 2'
loop_
_atom_site_label
_atom_site_type_symbol
_atom_site_fract_x
_atom_site_fract_y
_atom_site_fract_z
Sc1 Sc 0.000 0.000 0.224
Ta1 Ta 0.000 0.500 0.500
Os1 Os 0.000 0.500 0.000

=====

# ScTaOs2 (PBE, optimized geometry)
# Fermi-level density of states in states/eV/f.u.: 0.48
# Total DFT energy (no corrections) in eV per atom: -10.6667
# Energy above the lowest structure with this stoichiometry in eV per atom: 0.026
data_ScTaOs2
_cell_length_a 4.523
_cell_length_b 4.523
_cell_length_c 3.182
_cell_angle_alpha 90.00
_cell_angle_beta 90.00
_cell_angle_gamma 90.00
_space_group_name_H-M_alt 'P 4/m m m'
_space_group_IT_number 123
_space_group_name_Hall '-P 4 2'
loop_
_atom_site_label
_atom_site_type_symbol
_atom_site_fract_x
_atom_site_fract_y
_atom_site_fract_z
Sc1 Sc 0.000 0.000 0.000
Ta1 Ta 0.500 0.500 0.000
Os1 Os 0.000 0.500 0.500

=====

# ScTaOs2 (PBE, optimized geometry)
# Fermi-level density of states in states/eV/f.u.: 3.91
# Total DFT energy (no corrections) in eV per atom: -10.0481
# Energy above the lowest structure with this stoichiometry in eV per atom: 0.644
data_ScTaOs2
_cell_length_a 3.249
_cell_length_b 3.249
_cell_length_c 6.361
_cell_angle_alpha 90.00
_cell_angle_beta 90.00
_cell_angle_gamma 90.00
_space_group_name_H-M_alt 'P 4 m m'
_space_group_IT_number 99
_space_group_name_Hall 'P 4 -2'
loop_
_atom_site_label
_atom_site_type_symbol
_atom_site_fract_x
_atom_site_fract_y
_atom_site_fract_z
Sc1 Sc 0.000 0.000 0.000
Ta1 Ta 0.500 0.500 0.297
Os1 Os 0.000 0.000 0.505
Os2 Os 0.500 0.500 0.779

=====

# Sc2TaOs2 (PBE, optimized geometry)
# Fermi-level density of states in states/eV/f.u.: 4.06
# Total DFT energy (no corrections) in eV per atom: -9.6251
data_Sc2TaOs2
_cell_length_a 6.670
_cell_length_b 6.670
_cell_length_c 4.316
_cell_angle_alpha 90.00
_cell_angle_beta 90.00
_cell_angle_gamma 90.00
_space_group_name_H-M_alt 'P 4/m b m'
_space_group_IT_number 127
_space_group_name_Hall '-P 4 2ab'
loop_
_atom_site_label
_atom_site_type_symbol
_atom_site_fract_x
_atom_site_fract_y
_atom_site_fract_z
Sc1 Sc 0.178 0.322 0.000
Ta1 Ta 0.000 0.000 0.500
Os1 Os 0.130 0.630 0.500

=====

# ScTa2TiOs (PBE, optimized geometry)
# Fermi-level density of states in states/eV/f.u.: 5.63
# Total DFT energy (no corrections) in eV per atom: -8.7930
data_ScTa2TiOs
_cell_length_a 4.692
_cell_length_b 4.692
_cell_length_c 4.642
_cell_angle_alpha 90.00
_cell_angle_beta 90.00
_cell_angle_gamma 90.00
_space_group_name_H-M_alt 'P 4/m m m'
_space_group_IT_number 123
_space_group_name_Hall '-P 4 2'
loop_
_atom_site_label
_atom_site_type_symbol
_atom_site_fract_x
_atom_site_fract_y
_atom_site_fract_z
Sc1 Sc 0.000 0.000 0.000
Ta1 Ta 0.000 0.500 0.500
Ti1 Ti 0.500 0.500 0.500
Os1 Os 0.500 0.500 0.000

=====

# ScTaVOs (PBE, optimized geometry)
# Fermi-level density of states in states/eV/f.u.: 4.02
# Total DFT energy (no corrections) in eV per atom: -9.8235
data_ScTaVOs
_cell_length_a 6.445
_cell_length_b 6.445
_cell_length_c 6.445
_cell_angle_alpha 90.00
_cell_angle_beta 90.00
_cell_angle_gamma 90.00
_space_group_name_H-M_alt 'F -4 3 m'
_space_group_IT_number 216
_space_group_name_Hall 'F -4 2 3'
loop_
_atom_site_label
_atom_site_type_symbol
_atom_site_fract_x
_atom_site_fract_y
_atom_site_fract_z
Sc1 Sc 0.000 0.000 0.000
Ta1 Ta 0.000 0.000 0.500
V1 V 0.250 0.250 0.250
Os1 Os 0.250 0.250 0.750

=====

# ScTaOsW2 (PBE, optimized geometry)
# Fermi-level density of states in states/eV/f.u.: 11.16
# Total DFT energy (no corrections) in eV per atom: -8.8057
data_ScTaOsW2
_cell_length_a 4.712
_cell_length_b 4.712
_cell_length_c 4.789
_cell_angle_alpha 90.00
_cell_angle_beta 90.00
_cell_angle_gamma 90.00
_space_group_name_H-M_alt 'P 4/m m m'
_space_group_IT_number 123
_space_group_name_Hall '-P 4 2'
loop_
_atom_site_label
_atom_site_type_symbol
_atom_site_fract_x
_atom_site_fract_y
_atom_site_fract_z
Sc1 Sc 0.000 0.000 0.000
Ta1 Ta 0.000 0.000 0.500
Os1 Os 0.500 0.500 0.000
W1 W 0.000 0.500 0.500

=====

# ZrScTa2Os (PBE, optimized geometry)
# Fermi-level density of states in states/eV/f.u.: 6.96
# Total DFT energy (no corrections) in eV per atom: -8.4683
data_ZrScTa2Os
_cell_length_a 4.686
_cell_length_b 4.686
_cell_length_c 4.731
_cell_angle_alpha 90.00
_cell_angle_beta 90.00
_cell_angle_gamma 90.00
_space_group_name_H-M_alt 'P 4/m m m'
_space_group_IT_number 123
_space_group_name_Hall '-P 4 2'
loop_
_atom_site_label
_atom_site_type_symbol
_atom_site_fract_x
_atom_site_fract_y
_atom_site_fract_z
Zr1 Zr 0.000 0.000 0.000
Sc1 Sc 0.500 0.500 0.500
Ta1 Ta 0.000 0.500 0.500
Os1 Os 0.500 0.500 0.000

=====

# TbScOs2 (PBE, optimized geometry)
# Fermi-level density of states in states/eV/f.u.: 5.25
# Total DFT energy (no corrections) in eV per atom: -8.4828
data_TbScOs2
_cell_length_a 3.321
_cell_length_b 3.321
_cell_length_c 6.655
_cell_angle_alpha 90.00
_cell_angle_beta 90.00
_cell_angle_gamma 90.00
_space_group_name_H-M_alt 'P 4/m m m'
_space_group_IT_number 123
_space_group_name_Hall '-P 4 2'
loop_
_atom_site_label
_atom_site_type_symbol
_atom_site_fract_x
_atom_site_fract_y
_atom_site_fract_z
Tb1 Tb 0.000 0.000 0.000
Sc1 Sc 0.000 0.000 0.500
Os1 Os 0.500 0.500 0.269

=====

# TbScOs4 (PBE, optimized geometry)
# Fermi-level density of states in states/eV/f.u.: 5.85
# Total DFT energy (no corrections) in eV per atom: -9.5877
data_TbScOs4
_cell_length_a 7.496
_cell_length_b 7.496
_cell_length_c 7.496
_cell_angle_alpha 90.00
_cell_angle_beta 90.00
_cell_angle_gamma 90.00
_space_group_name_H-M_alt 'F -4 3 m'
_space_group_IT_number 216
_space_group_name_Hall 'F -4 2 3'
loop_
_atom_site_label
_atom_site_type_symbol
_atom_site_fract_x
_atom_site_fract_y
_atom_site_fract_z
Tb1 Tb 0.000 0.000 0.000
Sc1 Sc 0.250 0.250 0.250
Os1 Os 0.125 0.125 0.625

=====

# TbThScOs (PBE, optimized geometry)
# Fermi-level density of states in states/eV/f.u.: 5.03
# Total DFT energy (no corrections) in eV per atom: -7.3931
data_TbThScOs
_cell_length_a 7.209
_cell_length_b 7.209
_cell_length_c 7.209
_cell_angle_alpha 90.00
_cell_angle_beta 90.00
_cell_angle_gamma 90.00
_space_group_name_H-M_alt 'F -4 3 m'
_space_group_IT_number 216
_space_group_name_Hall 'F -4 2 3'
loop_
_atom_site_label
_atom_site_type_symbol
_atom_site_fract_x
_atom_site_fract_y
_atom_site_fract_z
Tb1 Tb 0.000 0.000 0.000
Th1 Th 0.000 0.000 0.500
Sc1 Sc 0.250 0.250 0.250
Os1 Os 0.250 0.250 0.750

=====

# TbScTlOs (PBE, optimized geometry)
# Fermi-level density of states in states/eV/f.u.: 3.37
# Total DFT energy (no corrections) in eV per atom: -6.2898
# Energy above the lowest structure with this stoichiometry in eV per atom: 0.206
data_TbScTlOs
_cell_length_a 6.996
_cell_length_b 6.996
_cell_length_c 6.996
_cell_angle_alpha 90.00
_cell_angle_beta 90.00
_cell_angle_gamma 90.00
_space_group_name_H-M_alt 'F -4 3 m'
_space_group_IT_number 216
_space_group_name_Hall 'F -4 2 3'
loop_
_atom_site_label
_atom_site_type_symbol
_atom_site_fract_x
_atom_site_fract_y
_atom_site_fract_z
Tb1 Tb 0.000 0.000 0.000
Sc1 Sc 0.000 0.000 0.500
Tl1 Tl 0.250 0.250 0.750
Os1 Os 0.250 0.250 0.250

=====

# TbScTlOs (PBE, optimized geometry)
# Fermi-level density of states in states/eV/f.u.: 1.98
# Total DFT energy (no corrections) in eV per atom: -6.4956
# Energy above the lowest structure with this stoichiometry in eV per atom: 0.000
data_TbScTlOs
_cell_length_a 3.322
_cell_length_b 3.322
_cell_length_c 8.062
_cell_angle_alpha 90.00
_cell_angle_beta 90.00
_cell_angle_gamma 90.00
_space_group_name_H-M_alt 'P 4 m m'
_space_group_IT_number 99
_space_group_name_Hall 'P 4 -2'
loop_
_atom_site_label
_atom_site_type_symbol
_atom_site_fract_x
_atom_site_fract_y
_atom_site_fract_z
Tb1 Tb 0.000 0.000 0.000
Sc1 Sc 0.000 0.000 0.599
Tl1 Tl 0.500 0.500 0.319
Os1 Os 0.500 0.500 0.780

=====

# TbTmScOs (PBE, optimized geometry)
# Fermi-level density of states in states/eV/f.u.: 3.67
# Total DFT energy (no corrections) in eV per atom: -6.6792
data_TbTmScOs
_cell_length_a 7.076
_cell_length_b 7.076
_cell_length_c 7.076
_cell_angle_alpha 90.00
_cell_angle_beta 90.00
_cell_angle_gamma 90.00
_space_group_name_H-M_alt 'F -4 3 m'
_space_group_IT_number 216
_space_group_name_Hall 'F -4 2 3'
loop_
_atom_site_label
_atom_site_type_symbol
_atom_site_fract_x
_atom_site_fract_y
_atom_site_fract_z
Tb1 Tb 0.000 0.000 0.000
Tm1 Tm 0.000 0.000 0.500
Sc1 Sc 0.250 0.250 0.250
Os1 Os 0.250 0.250 0.750

=====

# TbYScOs (PBE, optimized geometry)
# Fermi-level density of states in states/eV/f.u.: 3.89
# Total DFT energy (no corrections) in eV per atom: -7.1341
data_TbYScOs
_cell_length_a 7.129
_cell_length_b 7.129
_cell_length_c 7.129
_cell_angle_alpha 90.00
_cell_angle_beta 90.00
_cell_angle_gamma 90.00
_space_group_name_H-M_alt 'F -4 3 m'
_space_group_IT_number 216
_space_group_name_Hall 'F -4 2 3'
loop_
_atom_site_label
_atom_site_type_symbol
_atom_site_fract_x
_atom_site_fract_y
_atom_site_fract_z
Tb1 Tb 0.000 0.000 0.000
Y1 Y 0.000 0.000 0.500
Sc1 Sc 0.250 0.250 0.750
Os1 Os 0.250 0.250 0.250

=====

# Sc8TcOs2 (PBE, optimized geometry)
# Fermi-level density of states in states/eV/f.u.: 12.02
# Total DFT energy (no corrections) in eV per atom: -7.8651
data_Sc8TcOs2
_cell_length_a 16.073
_cell_length_b 4.535
_cell_length_c 6.487
_cell_angle_alpha 90.00
_cell_angle_beta 108.67
_cell_angle_gamma 90.00
_space_group_name_H-M_alt 'C 1 2/m 1'
_space_group_IT_number 12
_space_group_name_Hall '-C 2y'
loop_
_atom_site_label
_atom_site_type_symbol
_atom_site_fract_x
_atom_site_fract_y
_atom_site_fract_z
Sc1 Sc 0.027 0.000 0.290
Sc2 Sc 0.100 0.500 0.956
Sc3 Sc 0.165 0.500 0.453
Sc4 Sc 0.199 0.000 0.798
Tc1 Tc 0.000 0.500 0.500
Os1 Os 0.183 0.000 0.192

=====

# ScTcOs (PBE, optimized geometry)
# Fermi-level density of states in states/eV/f.u.: 1.75
# Total DFT energy (no corrections) in eV per atom: -9.4956
# Energy above the lowest structure with this stoichiometry in eV per atom: 0.000
data_ScTcOs
_cell_length_a 3.110
_cell_length_b 13.790
_cell_length_c 4.488
_cell_angle_alpha 90.00
_cell_angle_beta 90.00
_cell_angle_gamma 90.00
_space_group_name_H-M_alt 'C m c m'
_space_group_IT_number 63
_space_group_name_Hall '-C 2c 2'
loop_
_atom_site_label
_atom_site_type_symbol
_atom_site_fract_x
_atom_site_fract_y
_atom_site_fract_z
Sc1 Sc 0.000 0.082 0.250
Tc1 Tc 0.000 0.246 0.750
Os1 Os 0.000 0.408 0.250

=====

# Sc4TcOs (PBE, optimized geometry)
# Fermi-level density of states in states/eV/f.u.: 4.20
# Total DFT energy (no corrections) in eV per atom: -8.1258
# Energy above the lowest structure with this stoichiometry in eV per atom: 0.000
data_Sc4TcOs
_cell_length_a 3.271
_cell_length_b 3.271
_cell_length_c 11.235
_cell_angle_alpha 90.00
_cell_angle_beta 90.00
_cell_angle_gamma 90.00
_space_group_name_H-M_alt 'P 4/m m m'
_space_group_IT_number 123
_space_group_name_Hall '-P 4 2'
loop_
_atom_site_label
_atom_site_type_symbol
_atom_site_fract_x
_atom_site_fract_y
_atom_site_fract_z
Sc1 Sc 0.000 0.000 0.134
Sc2 Sc 0.500 0.500 0.364
Tc1 Tc 0.500 0.500 0.000
Os1 Os 0.000 0.000 0.500